Density functional theory data (PBE) for an optimized crystal structure of TeBr3.

Calculated values
Energy relative to the elements, uncorrected ... -288 meV per atom
Total moment ... 0.00 Bohr magnetons per cell
ΔE to the lowest computed polymorph ... 9.8 kJ/mol of formula units
Density of states at the Fermi level ... 0.47 states/eV/f.u.
E_tot ... -9.31 eV/f.u.

a b c (Å): 7.380 7.435 7.945
angles (deg): 117.85 94.37 111.96
Space group P-1 (No. 2)
Inequivalent atoms, fractional coordinates:
Te (0.172, 0.326, 0.499) x2
Br (0.055, 0.485, 0.262) x2
Br (0.252, 0.191, 0.729) x2
Br (0.382, 0.182, 0.267) x2

=====

Density functional theory data (PBE) for an optimized crystal structure of Te4Br.

Calculated values
Energy relative to the elements, uncorrected ... 88 meV per atom
Total moment ... 0.00 Bohr magnetons per cell
ΔE to the lowest computed polymorph ... 0.0 kJ/mol of formula units
Density of states at the Fermi level ... 3.56 states/eV/f.u.
E_tot ... -13.80 eV/f.u.

a b c (Å): 6.029 6.029 9.375
angles (deg): 90.00 90.00 90.00
Space group I4/mmm (No. 139)
Inequivalent atoms, fractional coordinates:
Te (0.000, 0.000, 0.173) x4
Te (0.000, 0.500, 0.250) x4
Br (0.000, 0.000, 0.500) x2

=====

Density functional theory data (PBE) for an optimized crystal structure of TeBr2.

Calculated values
Energy relative to the elements, uncorrected ... -156 meV per atom
Total moment ... 0.00 Bohr magnetons per cell
ΔE to the lowest computed polymorph ... 32.5 kJ/mol of formula units
E_tot ... -6.96 eV/f.u.

a b c (Å): 7.896 9.135 3.938
angles (deg): 90.00 90.00 90.00
Space group Pnnm (No. 58)
Inequivalent atoms, fractional coordinates:
Te (0.000, 0.000, 0.000) x2
Br (0.172, 0.160, 0.500) x4

=====

Density functional theory data (PBE) for an optimized crystal structure of TeBr2.

Calculated values
Energy relative to the elements, uncorrected ... -183 meV per atom
Total moment ... 0.00 Bohr magnetons per cell
ΔE to the lowest computed polymorph ... 24.7 kJ/mol of formula units
Density of states at the Fermi level ... 0.04 states/eV/f.u.
E_tot ... -7.04 eV/f.u.

a b c (Å): 4.198 6.872 9.068
angles (deg): 72.88 78.43 89.22
Space group P1 (No. 1)
Inequivalent atoms, fractional coordinates:
Te (0.000, 0.000, 0.000) x1
Te (0.055, 0.440, 0.848) x1
Br (0.178, 0.420, 0.560) x1
Br (0.476, 0.026, 0.213) x1
Br (0.530, 0.951, 0.791) x1
Br (0.927, 0.530, 0.137) x1

=====

Density functional theory data (PBE) for an optimized crystal structure of TeBr3.

Calculated values
Energy relative to the elements, uncorrected ... -280 meV per atom
Total moment ... 0.00 Bohr magnetons per cell
ΔE to the lowest computed polymorph ... 12.8 kJ/mol of formula units
Density of states at the Fermi level ... 0.00 states/eV/f.u.
E_tot ... -9.28 eV/f.u.

a b c (Å): 6.586 8.013 8.250
angles (deg): 67.48 69.80 68.68
Space group P1 (No. 1)
Inequivalent atoms, fractional coordinates:
Te (0.000, 0.000, 0.000) x1
Te (0.316, 0.791, 0.264) x1
Br (0.199, 0.213, 0.035) x1
Br (0.286, 0.908, 0.726) x1
Br (0.365, 0.440, 0.393) x1
Br (0.753, 0.745, 0.029) x1
Br (0.760, 0.291, 0.805) x1
Br (0.875, 0.893, 0.426) x1

=====

Density functional theory data (PBE) for an optimized crystal structure of Te2Br.

Calculated values
Energy relative to the elements, uncorrected ... -72 meV per atom
Total moment ... 0.00 Bohr magnetons per cell
ΔE to the lowest computed polymorph ... 25.3 kJ/mol of formula units
E_tot ... -8.17 eV/f.u.

a b c (Å): 5.581 6.771 7.213
angles (deg): 74.35 74.98 77.57
Space group P1 (No. 1)
Inequivalent atoms, fractional coordinates:
Te (0.000, 0.000, 0.000) x1
Te (0.013, 0.224, 0.562) x1
Te (0.191, 0.865, 0.385) x1
Te (0.434, 0.141, 0.046) x1
Br (0.522, 0.268, 0.512) x1
Br (0.852, 0.608, 0.714) x1

=====

Density functional theory data (PBE) for an optimized crystal structure of TeBr3.

Calculated values
Energy relative to the elements, uncorrected ... -235 meV per atom
Total moment ... 0.00 Bohr magnetons per cell
ΔE to the lowest computed polymorph ... 30.4 kJ/mol of formula units
Density of states at the Fermi level ... 1.00 states/eV/f.u.
E_tot ... -9.10 eV/f.u.

a b c (Å): 12.968 5.660 5.713
angles (deg): 90.00 115.84 90.00
Space group Cm (No. 8)
Inequivalent atoms, fractional coordinates:
Te (0.000, 0.000, 0.000) x2
Br (0.213, 0.000, 0.210) x2
Br (0.478, 0.000, 0.978) x2
Br (0.483, 0.500, 0.483) x2

=====

Density functional theory data (PBE) for an optimized crystal structure of TeBr3.

Calculated values
Energy relative to the elements, uncorrected ... -19 meV per atom
Total moment ... 0.00 Bohr magnetons per cell
ΔE to the lowest computed polymorph ... 113.7 kJ/mol of formula units
Density of states at the Fermi level ... 2.07 states/eV/f.u.
E_tot ... -8.23 eV/f.u.

a b c (Å): 3.729 5.635 13.068
angles (deg): 90.00 90.00 90.00
Space group Immm (No. 71)
Inequivalent atoms, fractional coordinates:
Te (0.000, 0.000, 0.000) x2
Br (0.000, 0.000, 0.500) x2
Br (0.000, 0.500, 0.338) x4

=====

Density functional theory data (PBE) for an optimized crystal structure of Te2Br.

Calculated values
Energy relative to the elements, uncorrected ... 199 meV per atom
Total moment ... 0.00 Bohr magnetons per cell
ΔE to the lowest computed polymorph ... 103.7 kJ/mol of formula units
Density of states at the Fermi level ... 2.17 states/eV/f.u.
E_tot ... -7.36 eV/f.u.

a b c (Å): 6.916 6.916 8.934
angles (deg): 90.00 90.00 90.00
Space group I4/mcm (No. 140)
Inequivalent atoms, fractional coordinates:
Te (0.132, 0.368, 0.000) x8
Br (0.000, 0.000, 0.250) x4

=====

Density functional theory data (PBE) for an optimized crystal structure of TeBr2.

Calculated values
Energy relative to the elements, uncorrected ... -157 meV per atom
Total moment ... 0.00 Bohr magnetons per cell
ΔE to the lowest computed polymorph ... 32.3 kJ/mol of formula units
Density of states at the Fermi level ... 0.18 states/eV/f.u.
E_tot ... -6.96 eV/f.u.

a b c (Å): 9.308 3.950 13.019
angles (deg): 90.00 90.00 90.00
Space group Pnma (No. 62)
Inequivalent atoms, fractional coordinates:
Te (0.166, 0.250, 0.106) x4
Br (0.029, 0.750, 0.223) x4
Br (0.199, 0.250, 0.488) x4

=====

Density functional theory data (PBE) for an optimized crystal structure of TeBr2.

Calculated values
Energy relative to the elements, uncorrected ... 83 meV per atom
Total moment ... 0.00 Bohr magnetons per cell
ΔE to the lowest computed polymorph ... 101.7 kJ/mol of formula units
Density of states at the Fermi level ... 1.63 states/eV/f.u.
E_tot ... -6.24 eV/f.u.

a b c (Å): 5.102 5.102 3.561
angles (deg): 90.00 90.00 90.00
Space group P4/mmm (No. 123)
Inequivalent atoms, fractional coordinates:
Te (0.000, 0.000, 0.000) x1
Br (0.000, 0.500, 0.500) x2

=====

Density functional theory data (PBE) for an optimized crystal structure of TeBr2.

Calculated values
Energy relative to the elements, uncorrected ... -170 meV per atom
Total moment ... 0.00 Bohr magnetons per cell
ΔE to the lowest computed polymorph ... 28.5 kJ/mol of formula units
Density of states at the Fermi level ... 0.61 states/eV/f.u.
E_tot ... -7.00 eV/f.u.

a b c (Å): 5.568 5.568 3.638
angles (deg): 90.00 90.00 90.00
Space group P4/mmm (No. 123)
Inequivalent atoms, fractional coordinates:
Te (0.000, 0.000, 0.000) x1
Br (0.000, 0.500, 0.000) x2

=====

Density functional theory data (PBE) for an optimized crystal structure of TeBr3.

Calculated values
Energy relative to the elements, uncorrected ... -118 meV per atom
Total moment ... 0.00 Bohr magnetons per cell
ΔE to the lowest computed polymorph ... 75.2 kJ/mol of formula units
Density of states at the Fermi level ... 2.30 states/eV/f.u.
E_tot ... -8.63 eV/f.u.

a b c (Å): 8.226 6.986 5.563
angles (deg): 90.00 106.81 90.00
Space group C2/m (No. 12)
Inequivalent atoms, fractional coordinates:
Te (0.000, 0.000, 0.000) x2
Br (0.000, 0.000, 0.500) x2
Br (0.165, 0.500, 0.845) x4

=====

Density functional theory data (PBE) for an optimized crystal structure of TeBr3.

Calculated values
Energy relative to the elements, uncorrected ... 217 meV per atom
Total moment ... 0.00 Bohr magnetons per cell
ΔE to the lowest computed polymorph ... 204.5 kJ/mol of formula units
Density of states at the Fermi level ... 2.70 states/eV/f.u.
E_tot ... -7.29 eV/f.u.

a b c (Å): 3.8017 3.8017 29.5900
angles (deg): 90.00 90.00 120.00
Space group R-3m (No. 166, hexagonal axes)
Inequivalent atoms, fractional coordinates:
Te (0.0000, 0.0000, 0.0000) x3
Br (0.0000, 0.0000, 0.4110) x6
Br (0.0000, 0.0000, 0.5000) x3